(1)
Computed, not measured: a geometry-optimized KCd3Si structure at the PBE level of DFT.

Cell: 6.4777 6.4777 6.4777 Å, 90.00 90.00 90.00°
Element x y z (fractional)
1 K 0.0000 0.0000 0.0000
2 Cd 0.0000 0.0000 0.5000
3 Cd 0.0000 0.5000 0.0000
4 Cd 0.5000 0.0000 0.0000
5 Si 0.5000 0.5000 0.5000

Results
Size of the total moment: 0.58 μB/atom
Final energy: -0.750 eV per atom
Energy above the lowest structure with this stoichiometry: 0.900 eV/atom
Calculated density: 2.5 g/cm³
Energy relative to the elements, uncorrected: 5.51 eV/f.u.



(2)
Computed, not measured: a geometry-optimized KCdSi structure at the PBE level of DFT.

Cell: 5.3365 5.3365 5.3365 Å, 60.00 60.00 60.00°
Element x y z (fractional)
1 K 0.0000 0.0000 0.0000
2 Cd 0.7500 0.7500 0.7500
3 Si 0.2500 0.2500 0.2500

Results
Size of the total moment: 0.52 μB/atom
Final energy: -1.568 eV per atom
Energy above the lowest structure with this stoichiometry: 0.773 eV/atom
Calculated density: 2.8 g/cm³
Energy relative to the elements, uncorrected: 2.73 eV/f.u.



(3)
Computed, not measured: a geometry-optimized KCdSi structure at the PBE level of DFT.

Cell: 7.7532 7.7532 7.7532 Å, 155.92 155.92 34.32°
Element x y z (fractional)
1 K 0.0000 0.0000 0.0000
2 Cd 0.6985 0.6985 0.0000
3 Si 0.3237 0.3237 0.0000

Results
Size of the total moment: 0.00 μB/atom
Final energy: -2.123 eV per atom
Energy above the lowest structure with this stoichiometry: 0.218 eV/atom
Calculated density: 3.8 g/cm³
Energy relative to the elements, uncorrected: 1.07 eV/f.u.



(4)
Computed, not measured: a geometry-optimized K2CdSi structure at the PBE level of DFT.

Cell: 3.5236 3.5236 10.4822 Å, 90.00 90.00 90.00°
Element x y z (fractional)
1 K 0.0000 0.0000 0.2231
2 K 0.0000 0.0000 0.7769
3 Cd 0.5000 0.5000 0.5000
4 Si 0.5000 0.5000 0.0000

Results
Size of the total moment: 0.09 μB/atom
Final energy: -1.801 eV per atom
Calculated density: 2.8 g/cm³
Energy relative to the elements, uncorrected: 1.33 eV/f.u.



(5)
Computed, not measured: a geometry-optimized KCdSi structure at the PBE level of DFT.

Cell: 4.5340 4.5340 5.2426 Å, 90.00 90.00 120.00°
Element x y z (fractional)
1 K 0.0000 0.0000 0.0000
2 Cd 0.3333 0.6667 0.5000
3 Si 0.6667 0.3333 0.5000

Results
Size of the total moment: 0.00 μB/atom
Final energy: -2.340 eV per atom
Energy above the lowest structure with this stoichiometry: 0.000 eV/atom
Calculated density: 3.2 g/cm³
Energy relative to the elements, uncorrected: 0.41 eV/f.u.



(6)
Computed, not measured: a geometry-optimized K2CdSiTe4 structure at the PBE level of DFT.

Cell: 9.0908 9.0908 9.0908 Å, 127.37 114.29 88.95°
Element x y z (fractional)
1 K 0.0000 0.0000 0.0000
2 K 0.5000 0.0000 0.0000
3 K 0.5000 0.0000 0.5000
4 K 0.5000 0.5000 0.5000
5 Cd 0.0000 0.5000 0.5000
6 Cd 0.5000 0.5000 0.0000
7 Si 0.0000 0.0000 0.5000
8 Si 0.0000 0.5000 0.0000
9 Te 0.1909 0.7427 0.4482
10 Te 0.2056 0.2573 0.9482
11 Te 0.2247 0.2472 0.5225
12 Te 0.2247 0.7022 0.9775
13 Te 0.7753 0.2978 0.0225
14 Te 0.7753 0.7528 0.4775
15 Te 0.7944 0.7427 0.0518
16 Te 0.8091 0.2573 0.5518

Results
Size of the total moment: 0.00 μB/atom
Final energy: -2.985 eV per atom
Calculated density: 4.7 g/cm³
Energy relative to the elements, uncorrected: -2.78 eV/f.u.